# GGA+U CaVSiO5, optimized geometry
data_CaVSiO5
_chemical_formula_sum 'Ca4 V4 Si4 O20'
_cell_length_a 6.638
_cell_length_b 8.763
_cell_length_c 7.037
_cell_angle_alpha 90.00
_cell_angle_beta 113.70
_cell_angle_gamma 90.00
_space_group_name_H-M_alt 'C 1 2/c 1'
_space_group_IT_number 15
loop_
_space_group_symop_operation_xyz
'x,y,z'
'-x,-y,-z'
'-x,y,-z+1/2'
'x,-y,z+1/2'
'x+1/2,y+1/2,z'
'-x+1/2,-y+1/2,-z'
'-x+1/2,y+1/2,-z+1/2'
'x+1/2,-y+1/2,z+1/2'
loop_
_atom_site_label
_atom_site_type_symbol
_atom_site_fract_x
_atom_site_fract_y
_atom_site_fract_z
Ca1 Ca 0.000 0.169 0.250
V1 V 0.000 0.500 0.000
Si1 Si 0.000 0.182 0.750
O1 O 0.000 0.435 0.250
O2 O 0.103 0.288 0.616
O3 O 0.185 0.064 0.908
# **Calculated density**: 3.5 g/cm³
# **Total DFT energy (no corrections)**: -7.62 eV/atom


# GGA+U CaVSi2O6, optimized geometry
data_CaVSi2O6
_chemical_formula_sum 'Ca4 V4 Si8 O24'
_cell_length_a 10.032
_cell_length_b 9.206
_cell_length_c 5.344
_cell_angle_alpha 90.00
_cell_angle_beta 105.66
_cell_angle_gamma 90.00
_space_group_name_H-M_alt 'C 1 2/c 1'
_space_group_IT_number 15
loop_
_space_group_symop_operation_xyz
'x,y,z'
'-x,-y,-z'
'-x,y,-z+1/2'
'x,-y,z+1/2'
'x+1/2,y+1/2,z'
'-x+1/2,-y+1/2,-z'
'-x+1/2,y+1/2,-z+1/2'
'x+1/2,-y+1/2,z+1/2'
loop_
_atom_site_label
_atom_site_type_symbol
_atom_site_fract_x
_atom_site_fract_y
_atom_site_fract_z
Ca1 Ca 0.000 0.204 0.250
V1 V 0.000 0.407 0.750
Si1 Si 0.212 0.091 0.762
O1 O 0.121 0.410 0.154
O2 O 0.137 0.244 0.674
O3 O 0.151 0.017 0.997
# **Calculated density**: 3.4 g/cm³
# **Total DFT energy (no corrections)**: -7.71 eV/atom


> Look up the calculated density of the first one.

3.5 g/cm³